Entry from Alexandria via LeMat-Bulk: a geometry-optimized Hf2NbSn4 structure (PBE-GGA).

```
Hf2NbSn4
1.0
5.2964 0.0000 0.0000
0.0000 5.2964 0.0000
2.6482 2.6482 7.0710
Nb Hf Sn
1 2 4
Direct
0.0000 0.0000 0.0000
0.6010 0.6010 0.7981
0.3990 0.3990 0.2019
0.8037 0.8037 0.3927
0.1963 0.1963 0.6073
0.0000 0.5000 0.0000
0.5000 0.0000 0.0000
```

Properties
- E (eV per atom) = -6.1881
- M_tot (μB per formula unit) = 0.0
- energy relative to the elements (meV/atom) = 382
- energy above the most stable polymorph in this dataset (eV per atom) = 0.394